Compound: Co2TeF
Source: Alexandria via LeMat-Bulk
Functional: PBE with a Hubbard U
Structure: optimized geometry

Computed properties:
* SG: I-42d, No. 122
* uncorrected energy: -4.170 eV/atom
* calculated volume: 155.9 Å³ per cell

a b c (Å): 5.017 5.017 7.137
angles (deg): 69.42 69.42 90.00
Fractional positions:
Te  0.000  0.000  0.000
Te  0.750  0.250  0.500
Co  0.540  0.125  0.250
Co  0.210  0.625  0.250
Co  0.375  0.460  0.750
Co  0.875  0.790  0.750
F  0.500  0.500  0.000
F  0.250  0.750  0.500